(1)
In3IrW after structural relaxation. Source: Alexandria, functional GGA-PBE.

Results
Crystal system: cubic
Energy of formation in eV per atom: 1.605
Calculated volume in Å³ per cell: 141

abc: 5.199 5.199 5.199
angles: 90.00 90.00 90.00
Space group Pm-3m (No. 221)
Inequivalent atoms, fractional coordinates:
1 In 0.000 0.000 0.500
2 Ir 0.500 0.500 0.500
3 W 0.000 0.000 0.000

***

(2)
In2IrW after structural relaxation. Source: Alexandria, functional GGA-PBE.

Results
Crystal system: orthorhombic
Energy of formation in eV per atom: 0.482
Calculated volume in Å³ per cell: 146

abc: 3.068 5.038 9.421
angles: 90.00 90.00 90.00
Space group Cmmm (No. 65)
Inequivalent atoms, fractional coordinates:
1 In 0.000 0.000 0.242
2 Ir 0.000 0.500 0.000
3 W 0.000 0.500 0.500

***

(3)
In2IrW after structural relaxation. Source: Alexandria, functional GGA-PBE.

Results
Crystal system: trigonal
Energy of formation in eV per atom: 0.412
Calculated volume in Å³ per cell: 216

abc: 3.0182 3.0182 27.4374
angles: 90.00 90.00 120.00
Space group R-3m (No. 166, hexagonal axes)
Inequivalent atoms, fractional coordinates:
1 In 0.0000 0.0000 0.2462
2 Ir 0.0000 0.0000 0.5000
3 W 0.0000 0.0000 0.0000

***

(4)
InIr3W after structural relaxation. Source: Alexandria, functional GGA-PBE.

Results
Crystal system: cubic
Energy of formation in eV per atom: 2.473
Calculated volume in Å³ per cell: 107

abc: 4.743 4.743 4.743
angles: 90.00 90.00 90.00
Space group Pm-3m (No. 221)
Inequivalent atoms, fractional coordinates:
1 In 0.000 0.000 0.000
2 Ir 0.000 0.000 0.500
3 W 0.500 0.500 0.500

***

(5)
In2IrW after structural relaxation. Source: Alexandria, functional GGA-PBE.

Results
Crystal system: orthorhombic
Energy of formation in eV per atom: 0.455
Calculated volume in Å³ per cell: 71

abc: 3.002 3.681 6.463
angles: 90.00 90.00 90.00
Space group Pmmm (No. 47)
Inequivalent atoms, fractional coordinates:
1 In 0.000 0.000 0.237
2 Ir 0.500 0.500 0.000
3 W 0.500 0.500 0.500

***

(6)
In2IrW after structural relaxation. Source: Alexandria, functional GGA-PBE.

Results
Crystal system: monoclinic
Energy of formation in eV per atom: 0.482
Calculated volume in Å³ per cell: 73

abc: 2.941 4.606 5.382
angles: 90.00 93.89 90.00
Space group P2/m (No. 10)
Inequivalent atoms, fractional coordinates:
1 In 0.186 0.000 0.252
2 Ir 0.000 0.500 0.500
3 W 0.500 0.500 0.000

***

(7)
In2IrW after structural relaxation. Source: Alexandria, functional GGA-PBE.

Results
Crystal system: tetragonal
Energy of formation in eV per atom: 0.501
Calculated volume in Å³ per cell: 144

abc: 4.099 4.099 8.575
angles: 90.00 90.00 90.00
Space group I-4m2 (No. 119)
Inequivalent atoms, fractional coordinates:
1 In 0.000 0.000 0.000
2 In 0.000 0.500 0.250
3 Ir 0.000 0.500 0.750
4 W 0.000 0.000 0.500

***

(8)
In2IrW after structural relaxation. Source: Alexandria, functional GGA-PBE.

Results
Crystal system: orthorhombic
Energy of formation in eV per atom: 0.477
Calculated volume in Å³ per cell: 146

abc: 2.978 5.097 9.626
angles: 90.00 90.00 90.00
Space group Immm (No. 71)
Inequivalent atoms, fractional coordinates:
1 In 0.000 0.000 0.238
2 Ir 0.000 0.500 0.500
3 W 0.000 0.500 0.000

***

(9)
In2IrW after structural relaxation. Source: Alexandria, functional GGA-PBE.

Results
Crystal system: orthorhombic
Energy of formation in eV per atom: 0.524
Calculated volume in Å³ per cell: 73

abc: 2.982 4.776 5.138
angles: 90.00 90.00 90.00
Space group Pmmm (No. 47)
Inequivalent atoms, fractional coordinates:
1 In 0.000 0.000 0.000
2 In 0.500 0.000 0.500
3 Ir 0.000 0.500 0.500
4 W 0.500 0.500 0.000

***

(10)
In2IrW after structural relaxation. Source: Alexandria, functional GGA-PBE.

Results
Crystal system: cubic
Energy of formation in eV per atom: 0.578
Calculated volume in Å³ per cell: 289

abc: 6.609 6.609 6.609
angles: 90.00 90.00 90.00
Space group Fm-3m (No. 225)
Inequivalent atoms, fractional coordinates:
1 In 0.250 0.250 0.250
2 Ir 0.000 0.000 0.000
3 W 0.000 0.000 0.500

***

(11)
In3IrW after structural relaxation. Source: Alexandria, functional GGA-PBE.

Results
Crystal system: cubic
Energy of formation in eV per atom: 1.096
Calculated volume in Å³ per cell: 135

abc: 5.129 5.129 5.129
angles: 90.00 90.00 90.00
Space group Pm-3m (No. 221)
Inequivalent atoms, fractional coordinates:
1 In 0.000 0.000 0.500
2 Ir 0.000 0.000 0.000
3 W 0.500 0.500 0.500

***

(12)
In2IrW after structural relaxation. Source: Alexandria, functional GGA-PBE.

Results
Crystal system: tetragonal
Energy of formation in eV per atom: 0.566
Calculated volume in Å³ per cell: 144

abc: 4.133 4.133 8.455
angles: 90.00 90.00 90.00
Space group I4/mmm (No. 139)
Inequivalent atoms, fractional coordinates:
1 In 0.000 0.500 0.250
2 Ir 0.000 0.000 0.000
3 W 0.000 0.000 0.500

***

Look up the calculated volume of the fourth one.
107 Å³ per cell

***

Look up the calculated volume of the eighth one.
146 Å³ per cell

***

Which of these has the lowest energy of formation?
number 3

***

Copy entry 11 word for word.
In3IrW after structural relaxation. Source: Alexandria, functional GGA-PBE.

Results
Crystal system: cubic
Energy of formation in eV per atom: 1.096
Calculated volume in Å³ per cell: 135

abc: 5.129 5.129 5.129
angles: 90.00 90.00 90.00
Space group Pm-3m (No. 221)
Inequivalent atoms, fractional coordinates:
1 In 0.000 0.000 0.500
2 Ir 0.000 0.000 0.000
3 W 0.500 0.500 0.500